Mn2ZnO4: relaxed, GGA+U.

Geometry as CIF:
```
data_Mn2ZnO4
_chemical_formula_sum 'Mn12 Zn6 O24'
_symmetry_space_group_name_H-M 'R 3 m'
_symmetry_Int_Tables_number 160
_symmetry_space_group_name_Hall 'R 3 -2"'
_cell_length_a 6.0905
_cell_length_b 6.0905
_cell_length_c 14.8223
_cell_angle_alpha 90.00
_cell_angle_beta 90.00
_cell_angle_gamma 120.00
loop_
_atom_site_label
_atom_site_fract_x
_atom_site_fract_y
_atom_site_fract_z
_atom_site_occupancy
Mn1 0.0000 0.0000 0.0000 1
Mn2 0.0000 0.5000 0.1189 1
Zn1 0.0000 0.0000 0.2375 1
Zn2 0.0000 0.0000 0.6182 1
O1 0.0000 0.0000 0.3719 1
O2 0.0000 0.0000 0.8641 1
O3 0.0329 0.5164 0.3809 1
O4 0.1810 0.3619 0.1908 1
```

ΔE to the lowest computed polymorph: 54 meV/atom
Electronic total energy: -6.6658 eV per atom
DOS(E_F): 0.321 states/eV/atom
Calculated density: 5.007 Mg/m³